First-principles (PBE-GGA) data for crystalline CsAgO2 at its relaxed geometry, as listed in the Alexandria database.

Unit cell a=6.673 b=6.673 c=6.673 alpha=90.00 beta=90.00 gamma=90.00
Space group Fm-3m (No. 225)
One atom of each set of equivalent atoms:
Cs 0.000 0.000 0.000
Ag 0.000 0.000 0.500
O 0.250 0.250 0.250

**Formation energy without anion corrections**: 0.23 eV/atom

First-principles (PBE-GGA) data for crystalline Pr4Y2Ho2Er at its relaxed geometry, as listed in the Alexandria database.

Unit cell a=15.362 b=5.123 c=8.082 alpha=90.00 beta=108.47 gamma=90.00
Space group C2/m (No. 12)
One atom of each set of equivalent atoms:
Pr 0.054 0.000 0.329
Pr 0.222 0.500 0.330
Y 0.112 0.500 0.671
Ho 0.167 0.000 0.000
Er 0.000 0.500 0.000

**Calculated formation energy**: 0.023 eV per atom

First-principles (PBE-GGA) data for crystalline Zr5NO at its relaxed geometry, as listed in the Alexandria database.

Unit cell a=8.823 b=7.761 c=8.841 alpha=90.00 beta=119.09 gamma=90.00
Space group C2/c (No. 15)
One atom of each set of equivalent atoms:
Zr 0.000 0.231 0.250
Zr 0.104 0.221 0.649
Zr 0.213 0.457 0.994
N 0.250 0.250 0.500
O 0.000 0.039 0.750

**Formation energy without anion corrections**: -1.00 eV/atom